Entry 1:
DFT (PBE) results for a relaxed Ba2AsP crystal.

The structure in POSCAR format:
```
Ba2AsP
1.0
4.1848 0.0000 0.0000
0.0000 4.1848 0.0000
0.0000 0.0000 7.0406
Ba As P
2 1 1
Cartesian
0.0000 0.0000 1.7151
0.0000 0.0000 5.3255
2.0924 2.0924 3.5203
2.0924 2.0924 0.0000
```

Summary:
**Total magnetization**: 0.00 μB per formula unit
**Space-group type**: P4/mmm (123)
**Final energy**: -16.824 eV per cell
**Energy above the most stable polymorph in this dataset**: 0.92 eV/f.u.

---

Entry 2:
DFT (PBE) results for a relaxed NbTc3Sb crystal.

The structure in POSCAR format:
```
NbTc3Sb
1.0
4.7261 0.0000 0.0000
0.0000 4.7261 0.0000
0.0000 0.0000 4.7261
Nb Tc Sb
1 3 1
Cartesian
0.0000 0.0000 0.0000
0.0000 2.3631 2.3631
2.3631 0.0000 2.3631
2.3631 2.3631 0.0000
2.3631 2.3631 2.3631
```

Summary:
**Energy relative to the elements, uncorrected**: 1.76 eV/atom
**Total magnetization**: 0.00 μB per formula unit
**Space-group type**: Pm-3m (221)
**Final energy**: -36.483 eV per cell
**Energy above the most stable polymorph in this dataset**: 0.80 eV/f.u.

---

Entry 3:
DFT (PBE) results for a relaxed Sr2Li3NpH12 crystal.

The structure in POSCAR format:
```
Sr2Li3NpH12
1.0
3.2055 1.8507 5.2131
-3.2055 1.8507 5.2131
0.0000 -3.7014 5.2131
Sr Li Np H
2 3 1 12
Cartesian
0.0000 0.0000 1.7251
0.0000 0.0000 13.9142
-1.6028 -0.9254 5.2131
-1.6028 0.9254 10.4262
0.0000 1.8507 5.2131
0.0000 0.0000 7.8197
-1.7418 -1.0056 7.1588
0.0000 -1.3922 6.0717
-1.2057 0.6961 6.0717
0.0000 -2.0112 8.4805
-1.2057 -0.6961 9.5676
-1.7418 1.0056 8.4805
1.7418 -1.0056 7.1588
1.2057 0.6961 6.0717
0.0000 2.0112 7.1588
1.2057 -0.6961 9.5676
0.0000 1.3922 9.5676
1.7418 1.0056 8.4805
```

Summary:
**Total magnetization**: 2.00 μB per formula unit
**Space-group type**: R-3m (166)
**Final energy**: -67.455 eV per cell

---

Entry 4:
DFT (PBE) results for a relaxed Tl2CoW crystal.

The structure in POSCAR format:
```
Tl2CoW
1.0
3.0431 0.0000 0.0000
0.0000 4.7669 0.0000
0.0000 0.0000 5.2719
Tl Co W
2 1 1
Cartesian
0.0000 0.0000 0.0000
1.5216 0.0000 2.6360
0.0000 2.3834 2.6360
1.5216 2.3834 0.0000
```

Summary:
**Total magnetization**: 1.99 μB per formula unit
**Space-group type**: Pmmm (47)
**Final energy**: -20.535 eV per cell
**Energy above the most stable polymorph in this dataset**: 2.16 eV/f.u.

---

Which value of total magnetization does entry 1 give? 0.00 μB per formula unit